No. 1
First-principles (PBE) data for Sm4DyTl7 after structural relaxation, as listed in the Alexandria database.

Formation enthalpy at 0 K   -0.15 eV per atom

a = 7.364 Å, b = 7.364 Å, c = 11.617 Å
α = 120.44°, β = 120.44°, γ = 45.51°
Fractional positions:
Sm  0.087  0.087  0.282
Sm  0.224  0.224  0.829
Sm  0.776  0.776  0.171
Sm  0.913  0.913  0.718
Dy  0.500  0.500  0.500
Tl  0.000  0.000  0.500
Tl  0.131  0.131  0.038
Tl  0.284  0.284  0.600
Tl  0.417  0.417  0.180
Tl  0.583  0.583  0.820
Tl  0.716  0.716  0.400
Tl  0.869  0.869  0.962

---

No. 2
First-principles (PBE) data for LaBe2Zn after structural relaxation, as listed in the Alexandria database.

Formation enthalpy at 0 K   -0.05 eV per atom
Energy above the lowest structure with this stoichiometry   4 meV/atom

a = 5.820 Å, b = 5.820 Å, c = 5.820 Å
α = 39.17°, β = 39.17°, γ = 39.17°
Fractional positions:
La  0.000  0.000  0.000
Be  0.489  0.489  0.489
Be  0.806  0.806  0.806
Zn  0.190  0.190  0.190

---

No. 3
First-principles (PBE) data for CsTcSb2Te after structural relaxation, as listed in the Alexandria database.

Uncorrected formation energy   131 meV per atom
Energy above the lowest structure with this stoichiometry   0 meV/atom

a = 5.217 Å, b = 5.217 Å, c = 5.997 Å
α = 90.00°, β = 90.00°, γ = 90.00°
Fractional positions:
Cs  0.000  0.000  0.000
Tc  0.500  0.500  0.500
Sb  0.000  0.500  0.500
Sb  0.500  0.000  0.500
Te  0.500  0.500  0.000

---

No. 4
First-principles (PBE) data for VSeS2 after structural relaxation, as listed in the Alexandria database.

Uncorrected formation energy   0 meV per atom

a = 6.449 Å, b = 6.449 Å, c = 6.449 Å
α = 123.49°, β = 123.49°, γ = 84.06°
Fractional positions:
V  0.000  0.000  0.000
V  0.750  0.250  0.500
Se  0.250  0.750  0.500
Se  0.500  0.500  0.000
S  0.053  0.625  0.928
S  0.375  0.303  0.428
S  0.697  0.125  0.072
S  0.875  0.947  0.572

---

Please write out number 2 again, unchanged.
First-principles (PBE) data for LaBe2Zn after structural relaxation, as listed in the Alexandria database.

Formation enthalpy at 0 K   -0.05 eV per atom
Energy above the lowest structure with this stoichiometry   4 meV/atom

a = 5.820 Å, b = 5.820 Å, c = 5.820 Å
α = 39.17°, β = 39.17°, γ = 39.17°
Fractional positions:
La  0.000  0.000  0.000
Be  0.489  0.489  0.489
Be  0.806  0.806  0.806
Zn  0.190  0.190  0.190